(1)
Below is a PBEsol-optimized structure of SrBe2N, with properties calculated at the SCAN level.

Raw formation energy, eV/atom: 0.04
Symmetry: Fd-3m
Total DFT energy (no corrections), eV/cell: -80.2

a b c (Å): 5.5678 5.5678 5.5678
angles (deg): 60.00 60.00 60.00
Fractional coordinates of all 8 atoms:
N: 0.2500 0.2500 0.2500
N: 0.0000 0.0000 0.0000
Be: 0.6250 0.1250 0.1250
Be: 0.1250 0.6250 0.1250
Be: 0.1250 0.1250 0.6250
Be: 0.1250 0.1250 0.1250
Sr: 0.5000 0.5000 0.5000
Sr: 0.7500 0.7500 0.7500

(2)
Below is a PBEsol-optimized structure of Be3TcN, with properties calculated at the SCAN level.

Raw formation energy, eV/atom: 0.14
Symmetry: Pm-3m
Total DFT energy (no corrections), eV/cell: -56.7

a b c (Å): 3.5246 3.5246 3.5246
angles (deg): 90.00 90.00 90.00
Last column: magnetic moment on the atom in μB.
Fractional coordinates of all 5 atoms:
Be: 0.5000 0.0000 0.0000  -0.01
Be: 0.0000 0.0000 0.5000  -0.01
Be: 0.0000 0.5000 0.0000  -0.01
N: 0.0000 0.0000 0.0000  0.18
Tc: 0.5000 0.5000 0.5000  0.65